(1)
First-principles (PBE-GGA) data for crystalline PtBrF3 at its relaxed geometry, as listed in Alexandria. Values from VASP.

Calculated values
As for the energy relative to the elements, uncorrected: -472 meV per atom. The value obtained for the final energy is -3.14 eV per atom.

```
&SYSTEM
  ibrav = 0, nat = 5, ntyp = 3
/
ATOMIC_SPECIES
Br 79.90 Br.upf
Pt 195.08 Pt.upf
F 19.00 F.upf
CELL_PARAMETERS angstrom
4.265 0.000 0.000
0.000 4.265 0.000
0.000 0.000 4.265
ATOMIC_POSITIONS angstrom
Br 2.133 2.133 2.133
Pt 0.000 0.000 0.000
F 0.000 2.133 0.000
F 0.000 0.000 2.133
F 2.133 0.000 0.000
```


(2)
First-principles (PBE-GGA) data for crystalline Al2SbCl at its relaxed geometry, as listed in Alexandria. Values from VASP.

Calculated values
As for the energy relative to the elements, uncorrected: 48 meV per atom. The value obtained for the final energy is -3.32 eV per atom.

```
&SYSTEM
  ibrav = 0, nat = 4, ntyp = 3
/
ATOMIC_SPECIES
Sb 121.76 Sb.upf
Al 26.98 Al.upf
Cl 35.45 Cl.upf
CELL_PARAMETERS angstrom
-3.958 -5.443 6.076
-3.311 -7.638 3.593
-0.910 -6.876 5.841
ATOMIC_POSITIONS angstrom
Sb -6.134 -14.968 11.633
Al -8.153 -19.894 15.461
Al -4.115 -10.042 7.804
Cl -2.045 -4.989 3.878
```


(3)
First-principles (PBE-GGA) data for crystalline CaBeAlOs2 at its relaxed geometry, as listed in Alexandria. Values from VASP.

Calculated values
The value obtained for the final energy is -5.45 eV per atom. The formation enthalpy at 0 K is 941 meV per atom.

```
&SYSTEM
  ibrav = 0, nat = 5, ntyp = 4
/
ATOMIC_SPECIES
Be 9.01 Be.upf
Ca 40.08 Ca.upf
Os 190.23 Os.upf
Al 26.98 Al.upf
CELL_PARAMETERS angstrom
-3.071 -2.129 -2.669
2.581 0.592 -3.442
2.051 -4.020 0.847
ATOMIC_POSITIONS angstrom
Be 1.291 0.296 -1.721
Ca 0.781 -2.779 -2.632
Os 1.025 -2.010 0.424
Os -1.535 -1.064 -1.335
Al 0.000 0.000 0.000
```